Record 1
The following is a PBE-GGA calculation of Sr2LiSnPd6 after structural relaxation, from Alexandria.

Results
* raw total energy: -4.477 eV per atom

Cell: 6.491 6.513 6.860 Å, 63.80 64.24 61.09°
Fractional positions:
Sr1 0.225 0.224 0.329
Sr2 0.775 0.776 0.671
Li1 0.000 0.000 0.000
Sn1 0.500 0.500 0.500
Pd1 0.233 0.659 0.857
Pd2 0.237 0.242 0.831
Pd3 0.345 0.768 0.138
Pd4 0.655 0.232 0.862
Pd5 0.763 0.758 0.169
Pd6 0.767 0.341 0.143


Record 2
The following is a PBE-GGA calculation of LiTa2SnPd after structural relaxation, from Alexandria.

Results
* raw total energy: -5.486 eV per atom

Cell: 5.091 5.091 4.335 Å, 90.00 90.00 90.00°
Fractional positions:
Li1 0.000 0.000 0.000
Ta1 0.000 0.500 0.500
Ta2 0.500 0.000 0.500
Sn1 0.000 0.000 0.500
Pd1 0.500 0.500 0.000


Record 3
The following is a PBE-GGA calculation of Li2Tb2SnPd5 after structural relaxation, from Alexandria.

Results
* raw total energy: -5.005 eV per atom

Cell: 9.615 9.615 3.756 Å, 90.00 90.00 90.00°
Fractional positions:
Li1 0.120 0.380 0.000
Li2 0.380 0.880 0.000
Li3 0.620 0.120 0.000
Li4 0.880 0.620 0.000
Tb1 0.176 0.676 0.000
Tb2 0.324 0.176 0.000
Tb3 0.676 0.824 0.000
Tb4 0.824 0.324 0.000
Sn1 0.000 0.000 0.000
Sn2 0.500 0.500 0.000
Pd1 0.000 0.500 0.500
Pd2 0.069 0.210 0.500
Pd3 0.210 0.931 0.500
Pd4 0.290 0.431 0.500
Pd5 0.431 0.710 0.500
Pd6 0.500 0.000 0.500
Pd7 0.569 0.290 0.500
Pd8 0.710 0.569 0.500
Pd9 0.790 0.069 0.500
Pd10 0.931 0.790 0.500


Record 4
The following is a PBE-GGA calculation of LiTbSn2Pd4 after structural relaxation, from Alexandria.

Results
* raw total energy: -5.148 eV per atom

Cell: 8.303 8.303 8.303 Å, 32.26 32.26 32.26°
Fractional positions:
Li1 0.000 0.000 0.000
Tb1 0.500 0.500 0.500
Sn1 0.256 0.256 0.256
Sn2 0.744 0.744 0.744
Pd1 0.110 0.110 0.110
Pd2 0.373 0.373 0.373
Pd3 0.627 0.627 0.627
Pd4 0.890 0.890 0.890


Record 5
The following is a PBE-GGA calculation of LiThSn2Pd4 after structural relaxation, from Alexandria.

Results
* raw total energy: -5.470 eV per atom

Cell: 8.869 8.869 8.869 Å, 29.71 29.71 29.71°
Fractional positions:
Li1 0.000 0.000 0.000
Th1 0.500 0.500 0.500
Sn1 0.261 0.261 0.261
Sn2 0.739 0.739 0.739
Pd1 0.103 0.103 0.103
Pd2 0.370 0.370 0.370
Pd3 0.630 0.630 0.630
Pd4 0.897 0.897 0.897


Record 6
The following is a PBE-GGA calculation of LiThSnPd after structural relaxation, from Alexandria.

Results
* raw total energy: -5.226 eV per atom

Cell: 4.911 4.911 4.911 Å, 60.00 60.00 60.00°
Fractional positions:
Li1 0.000 0.000 0.000
Th1 0.250 0.250 0.250
Sn1 0.750 0.750 0.750
Pd1 0.500 0.500 0.500